Below is a geometry-optimized SmDySc3 structure, with properties calculated at the GGA-PBE level.

Calculated values
VASP energy = -5.603 eV per atom
space-group type = C2/c (15)
calculated formation energy = 0.06 eV/atom
D(E_F) = 36.38 states/eV per cell
volume = 553.8 Å³ per cell
offset from the most stable computed form = 26 meV/atom

CIF file:
```
data_SmDySc3
_symmetry_space_group_name_H-M 'P 1'
_symmetry_Int_Tables_number 1
_cell_length_a 9.5885
_cell_length_b 9.5885
_cell_length_c 6.2645
_cell_angle_alpha 100.34
_cell_angle_beta 100.34
_cell_angle_gamma 81.88
loop_
_symmetry_equiv_pos_as_xyz
'x,y,z'
loop_
_atom_site_label
_atom_site_type_symbol
_atom_site_fract_x
_atom_site_fract_y
_atom_site_fract_z
_atom_site_occupancy
Sm1 Sm 0.0270 0.1805 0.4533 1
Sm2 Sm 0.1805 0.0270 0.9533 1
Sm3 Sm 0.8195 0.9730 0.0467 1
Sm4 Sm 0.9730 0.8195 0.5467 1
Dy1 Dy 0.3149 0.6851 0.7500 1
Dy2 Dy 0.4205 0.5795 0.2500 1
Dy3 Dy 0.5795 0.4205 0.7500 1
Dy4 Dy 0.6851 0.3149 0.2500 1
Sc1 Sc 0.0834 0.7040 0.0529 1
Sc2 Sc 0.1119 0.4814 0.3450 1
Sc3 Sc 0.2213 0.3792 0.8534 1
Sc4 Sc 0.2960 0.9166 0.4471 1
Sc5 Sc 0.3792 0.2213 0.3534 1
Sc6 Sc 0.4814 0.1119 0.8450 1
Sc7 Sc 0.5186 0.8881 0.1550 1
Sc8 Sc 0.6208 0.7787 0.6466 1
Sc9 Sc 0.7040 0.0834 0.5529 1
Sc10 Sc 0.7787 0.6208 0.1466 1
Sc11 Sc 0.8881 0.5186 0.6550 1
Sc12 Sc 0.9166 0.2960 0.9471 1
```